8
Lattice="-3.243 3.243 2.391 3.243 -3.243 2.391 3.243 3.243 -2.391" Properties=species:S:1:pos:R:3 comment="TaBe2P (PBEsol, optimized geometry)" ef_ev_per_atom=0.104 rho_g_cm3=7.592 pbc="T T T"
Ta 0.000 0.000 0.000
Ta 0.000 3.243 1.196
Be 1.621 1.954 -0.598
Be 4.531 1.621 0.598
Be 1.621 1.289 1.794
Be -1.289 1.621 2.989
P 3.243 0.000 1.196
P 0.000 0.000 2.391